Entry 1:
VASP calculation (GGA-PBE) on an optimized crystal structure of ScTiBeNi.

Unit cell a=4.359 b=4.359 c=4.359 alpha=60.00 beta=60.00 gamma=60.00
Positions (direct):
Sc (0.000, 0.000, 0.000)
Ti (0.500, 0.500, 0.500)
Be (0.250, 0.250, 0.250)
Ni (0.750, 0.750, 0.750)

Results
- total DFT energy (no corrections) (eV per atom) = -6.104
- symmetry = F-43m (216)


Entry 2:
VASP calculation (GGA-PBE) on an optimized crystal structure of SrNdRh.

Unit cell a=4.974 b=4.974 c=7.496 alpha=90.00 beta=90.00 gamma=90.00
Positions (direct):
Sr (0.250, 0.250, 0.119)
Sr (0.750, 0.750, 0.881)
Nd (0.250, 0.750, 0.500)
Nd (0.750, 0.250, 0.500)
Rh (0.250, 0.250, 0.702)
Rh (0.750, 0.750, 0.298)

Results
- total DFT energy (no corrections) (eV per atom) = -5.003
- symmetry = P4/nmm (129)


Entry 3:
VASP calculation (GGA-PBE) on an optimized crystal structure of CrAg7.

Unit cell a=5.851 b=5.851 c=5.851 alpha=60.00 beta=60.00 gamma=60.00
Positions (direct):
Cr (0.000, 0.000, 0.000)
Ag (0.000, 0.000, 0.500)
Ag (0.000, 0.500, 0.000)
Ag (0.000, 0.500, 0.500)
Ag (0.500, 0.000, 0.000)
Ag (0.500, 0.000, 0.500)
Ag (0.500, 0.500, 0.000)
Ag (0.500, 0.500, 0.500)

Results
- total DFT energy (no corrections) (eV per atom) = -3.543
- symmetry = Fm-3m (225)


Entry 4:
VASP calculation (GGA-PBE) on an optimized crystal structure of LaTc2Se.

Unit cell a=3.793 b=4.025 c=5.702 alpha=90.00 beta=96.70 gamma=90.00
Positions (direct):
La (0.000, 0.000, 0.000)
Tc (0.070, 0.500, 0.554)
Tc (0.423, 0.000, 0.553)
Se (0.541, 0.500, 0.252)

Results
- E_form (uncorrected) (eV per atom) = -0.161
- symmetry = Pm (6)


What did the fourth record say?
VASP calculation (GGA-PBE) on an optimized crystal structure of LaTc2Se.

Unit cell a=3.793 b=4.025 c=5.702 alpha=90.00 beta=96.70 gamma=90.00
Positions (direct):
La (0.000, 0.000, 0.000)
Tc (0.070, 0.500, 0.554)
Tc (0.423, 0.000, 0.553)
Se (0.541, 0.500, 0.252)

Results
- E_form (uncorrected) (eV per atom) = -0.161
- symmetry = Pm (6)